Computed, not measured: a relaxed Pm2CdRu2 crystal at the PBE level of DFT.

Polymorph energy (0 for the lowest one) ... 0 meV/atom
Energy of formation ... -0.203 eV per atom

a b c (Å): 4.1958 4.1612 7.2762
angles (deg): 106.62 90.00 90.00
Positions (direct):
Ru 0.0000 0.2066 0.4131
Ru 0.0000 0.7934 0.5869
Pm 0.5000 0.6363 0.2725
Pm 0.5000 0.3637 0.7275
Cd 0.0000 0.0000 0.0000

=====

Computed, not measured: a relaxed Pm5CdRu2 crystal at the PBE level of DFT.

Energy of formation ... -0.271 eV per atom

a b c (Å): 7.9561 7.9561 8.8958
angles (deg): 116.56 116.56 90.00
Positions (direct):
Ru 0.1425 0.3575 0.0000
Ru 0.6425 0.1425 0.0000
Ru 0.8575 0.6425 0.0000
Ru 0.3575 0.8575 0.0000
Pm 0.5000 0.5000 0.0000
Pm 0.9734 0.4734 0.2639
Pm 0.7094 0.2094 0.7361
Pm 0.0266 0.5266 0.7361
Pm 0.2094 0.0266 0.7361
Pm 0.0000 0.0000 0.0000
Pm 0.4734 0.2906 0.2639
Pm 0.7906 0.9734 0.2639
Pm 0.2906 0.7906 0.2639
Pm 0.5266 0.7094 0.7361
Cd 0.2500 0.2500 0.5000
Cd 0.7500 0.7500 0.5000

=====

Computed, not measured: a relaxed Pm6CdRu2 crystal at the PBE level of DFT.

Polymorph energy (0 for the lowest one) ... 0 meV/atom
Energy of formation ... -0.246 eV per atom

a b c (Å): 8.6883 8.6883 8.6883
angles (deg): 104.36 111.16 113.01
Positions (direct):
Pm 0.6870 0.3604 0.6733
Pm 0.5321 0.7150 0.8171
Pm 0.1022 0.2850 0.8171
Pm 0.6870 0.0137 0.3267
Pm 0.2025 0.2375 0.4400
Pm 0.2025 0.7625 0.9650
Pm 0.7975 0.7625 0.5600
Pm 0.3130 0.6396 0.3267
Pm 0.7975 0.2375 0.0350
Pm 0.4679 0.2850 0.1829
Pm 0.8978 0.7150 0.1829
Pm 0.3130 0.9863 0.6733
Ru 0.5000 0.6245 0.1245
Ru 0.3238 0.0000 0.3238
Ru 0.5000 0.3755 0.8755
Ru 0.6762 0.0000 0.6762
Cd 0.0000 0.5000 0.5000
Cd 0.0000 0.0000 0.0000

=====

Computed, not measured: a relaxed PmCdRu crystal at the PBE level of DFT.

Polymorph energy (0 for the lowest one) ... 0 meV/atom
Energy of formation ... -0.212 eV per atom

a b c (Å): 4.1278 4.1279 8.7498
angles (deg): 103.64 90.00 90.00
Positions (direct):
Ru 0.2500 0.5360 0.0720
Ru 0.7500 0.4640 0.9280
Pm 0.2500 0.9029 0.8059
Pm 0.7500 0.0971 0.1941
Cd 0.7500 0.2959 0.5918
Cd 0.2500 0.7041 0.4082

=====

Computed, not measured: a relaxed Pm4Cd5Ru2 crystal at the PBE level of DFT.

Energy of formation ... -0.271 eV per atom

a b c (Å): 3.7767 7.7415 9.6904
angles (deg): 94.98 90.00 90.00
Positions (direct):
Ru 0.0000 0.9272 0.3560
Ru 0.0000 0.0728 0.6440
Cd 0.0000 0.5000 0.0000
Cd 0.0000 0.4497 0.6773
Cd 0.0000 0.8132 0.8450
Cd 0.0000 0.5503 0.3227
Cd 0.0000 0.1868 0.1550
Pm 0.5000 0.8302 0.1522
Pm 0.5000 0.7841 0.5531
Pm 0.5000 0.2159 0.4469
Pm 0.5000 0.1698 0.8478

=====

Computed, not measured: a relaxed PmCdSbRu crystal at the PBE level of DFT.

Uncorrected formation energy ... -89.1 meV/atom

a b c (Å): 4.9603 4.9603 4.9603
angles (deg): 60.00 60.00 60.00
Positions (direct):
Cd 0.7500 0.7500 0.7500
Ru 0.2500 0.2500 0.2500
Pm 0.0000 0.0000 0.0000
Sb 0.5000 0.5000 0.5000

=====

Computed, not measured: a relaxed PmSmCdRu crystal at the PBE level of DFT.

Polymorph energy (0 for the lowest one) ... 0 meV/atom
Energy of formation ... -0.288 eV per atom

a b c (Å): 3.5393 3.5393 7.8720
angles (deg): 90.00 90.00 90.00
Positions (direct):
Sm 0.5000 0.5000 0.3554
Ru 0.0000 0.0000 0.5693
Cd 0.0000 0.0000 0.0732
Pm 0.5000 0.5000 0.7868

=====

Computed, not measured: a relaxed PmSmCdRu crystal at the PBE level of DFT.

Polymorph energy (0 for the lowest one) ... 87 meV/atom
Energy of formation ... -0.201 eV per atom

a b c (Å): 5.1487 5.1487 5.1487
angles (deg): 60.00 60.00 60.00
Positions (direct):
Cd 0.2500 0.2500 0.2500
Ru 0.7500 0.7500 0.7500
Pm 0.0000 0.0000 0.0000
Sm 0.5000 0.5000 0.5000

=====

Computed, not measured: a relaxed PmCdSnRu crystal at the PBE level of DFT.

Energy of formation ... -0.101 eV per atom

a b c (Å): 4.9442 4.9442 4.9442
angles (deg): 60.00 60.00 60.00
Positions (direct):
Sn 0.0000 0.0000 0.0000
Pm 0.5000 0.5000 0.5000
Ru 0.2500 0.2500 0.2500
Cd 0.7500 0.7500 0.7500

=====

Computed, not measured: a relaxed TbPmCdRu crystal at the PBE level of DFT.

Polymorph energy (0 for the lowest one) ... 0 meV/atom
Energy of formation ... -0.328 eV per atom

a b c (Å): 3.5128 3.5128 7.8046
angles (deg): 90.00 90.00 90.00
Positions (direct):
Pm 0.5000 0.5000 0.7864
Tb 0.5000 0.5000 0.3552
Ru 0.0000 0.0000 0.5636
Cd 0.0000 0.0000 0.0795

=====

Computed, not measured: a relaxed TbPmCdRu crystal at the PBE level of DFT.

Polymorph energy (0 for the lowest one) ... 97 meV/atom
Energy of formation ... -0.231 eV per atom

a b c (Å): 5.1079 5.1079 5.1079
angles (deg): 60.00 60.00 60.00
Positions (direct):
Ru 0.2500 0.2500 0.2500
Tb 0.5000 0.5000 0.5000
Pm 0.0000 0.0000 0.0000
Cd 0.7500 0.7500 0.7500

=====

Computed, not measured: a relaxed PmThCdRu crystal at the PBE level of DFT.

Energy of formation ... -0.159 eV per atom

a b c (Å): 5.1960 5.1960 5.1960
angles (deg): 60.00 60.00 60.00
Positions (direct):
Ru 0.5000 0.5000 0.5000
Pm 0.7500 0.7500 0.7500
Th 0.2500 0.2500 0.2500
Cd 0.0000 0.0000 0.0000

=====

Computed, not measured: a relaxed PmTmCdRu crystal at the PBE level of DFT.

Polymorph energy (0 for the lowest one) ... 113 meV/atom
Energy of formation ... -0.250 eV per atom

a b c (Å): 5.0659 5.0659 5.0659
angles (deg): 60.00 60.00 60.00
Positions (direct):
Ru 0.2500 0.2500 0.2500
Tm 0.0000 0.0000 0.0000
Cd 0.7500 0.7500 0.7500
Pm 0.5000 0.5000 0.5000

=====

Computed, not measured: a relaxed PmTmCdRu crystal at the PBE level of DFT.

Polymorph energy (0 for the lowest one) ... 0 meV/atom
Energy of formation ... -0.363 eV per atom

a b c (Å): 3.4828 3.4828 7.7330
angles (deg): 90.00 90.00 90.00
Positions (direct):
Pm 0.5000 0.5000 0.7862
Cd 0.0000 0.0000 0.0859
Ru 0.0000 0.0000 0.5575
Tm 0.5000 0.5000 0.3550

=====

Computed, not measured: a relaxed PmYCdRu crystal at the PBE level of DFT.

Polymorph energy (0 for the lowest one) ... 0 meV/atom
Energy of formation ... -0.332 eV per atom

a b c (Å): 3.5187 3.5187 7.7545
angles (deg): 90.00 90.00 90.00
Positions (direct):
Cd 0.0000 0.0000 0.0807
Ru 0.0000 0.0000 0.5641
Y 0.5000 0.5000 0.3534
Pm 0.5000 0.5000 0.7864

=====

Computed, not measured: a relaxed PmYCdRu crystal at the PBE level of DFT.

Polymorph energy (0 for the lowest one) ... 95 meV/atom
Energy of formation ... -0.237 eV per atom

a b c (Å): 5.1047 5.1047 5.1047
angles (deg): 60.00 60.00 60.00
Positions (direct):
Pm 0.0000 0.0000 0.0000
Ru 0.7500 0.7500 0.7500
Y 0.5000 0.5000 0.5000
Cd 0.2500 0.2500 0.2500

=====

Computed, not measured: a relaxed Pm2Zn5CdRu2 crystal at the PBE level of DFT.

Energy of formation ... -0.149 eV per atom

a b c (Å): 4.1076 9.6597 9.6597
angles (deg): 90.00 90.00 90.00
Positions (direct):
Zn 0.5000 0.0000 0.5000
Zn 0.5000 0.9403 0.2143
Zn 0.5000 0.7857 0.9403
Zn 0.5000 0.5000 0.0000
Zn 0.5000 0.2143 0.0597
Zn 0.5000 0.4403 0.2857
Zn 0.5000 0.7143 0.4403
Zn 0.5000 0.5597 0.7143
Zn 0.5000 0.0597 0.7857
Zn 0.5000 0.2857 0.5597
Ru 0.0000 0.1181 0.6181
Ru 0.0000 0.6181 0.8819
Ru 0.0000 0.3819 0.1181
Ru 0.0000 0.8819 0.3819
Pm 0.0000 0.6801 0.1801
Pm 0.0000 0.1801 0.3199
Pm 0.0000 0.3199 0.8199
Pm 0.0000 0.8199 0.6801
Cd 0.0000 0.0000 0.0000
Cd 0.0000 0.5000 0.5000

=====

Computed, not measured: a relaxed Pm3CdS6 crystal at the PBE level of DFT.

Uncorrected formation energy ... -1571.8 meV/atom

a b c (Å): 6.8832 8.6060 8.6060
angles (deg): 100.89 90.00 90.00
Positions (direct):
S 0.6856 0.6301 0.6940
S 0.2111 0.4459 0.9067
S 0.7111 0.9067 0.4459
S 0.1444 0.7744 0.2256
S 0.6444 0.2256 0.7744
S 0.7111 0.5541 0.0933
S 0.1856 0.3699 0.3060
S 0.2111 0.0933 0.5541
S 0.1856 0.6940 0.6301
S 0.1874 0.0295 0.9705
S 0.6874 0.9705 0.0295
S 0.6856 0.3060 0.3699
Pm 0.8910 0.6005 0.3995
Pm 0.9825 0.7186 0.9166
Pm 0.4825 0.2814 0.0834
Pm 0.3910 0.3995 0.6005
Pm 0.9825 0.0834 0.2814
Pm 0.4825 0.9166 0.7186
Cd 0.5041 0.7997 0.2003
Cd 0.0041 0.2003 0.7997

=====

Computed, not measured: a relaxed PmCdS crystal at the PBE level of DFT.

Uncorrected formation energy ... -1163.4 meV/atom

a b c (Å): 4.8118 4.8118 8.2264
angles (deg): 72.99 72.99 60.00
Positions (direct):
S 0.2860 0.2860 0.1421
S 0.7140 0.7140 0.8579
Cd 0.1664 0.1664 0.5007
Cd 0.8336 0.8336 0.4993
Pm 0.5913 0.5913 0.2262
Pm 0.4087 0.4087 0.7738

=====

Computed, not measured: a relaxed Pm2CdS crystal at the PBE level of DFT.

Polymorph energy (0 for the lowest one) ... 52 meV/atom
Uncorrected formation energy ... -1058.4 meV/atom

a b c (Å): 3.9525 3.9525 8.3909
angles (deg): 76.38 76.38 60.00
Positions (direct):
Pm 0.2656 0.2656 0.2033
Pm 0.0670 0.0670 0.7990
S 0.6677 0.6677 0.9968
Cd 0.4997 0.4997 0.5009

=====

DOS(E_F) in states/eV per cell, matching the order above: 5.111; 14.111; 16.891; 5.191; 7.898; 2.494; 4.031; 3.631; 4.196; 3.817; 3.265; 2.920; 3.411; 3.488; 3.758; 3.409; 13.857; 15.916; 2.039; 2.678